La3MgNi, optimized geometry, DFT PBEsol; uncorrected energy = -23.98 eV per cell; mass density = 5.3 Mg/m³
1.0
-2.058 3.527 3.525
-1.706 -4.081 3.088
4.686 0.063 2.672
La Ni Mg
3 1 1
Direct
0.000 0.500 0.000
0.000 0.000 0.500
0.500 0.000 0.000
0.000 0.000 0.000
0.500 0.500 0.500